Record 1
Below is a relaxed Hf8C3N4 crystal, with properties calculated at the PBE level.

Results
DOS(E_F)	1.967	states/eV/cell
M_tot	0.00	μB per formula unit
formation energy without anion corrections	-1377	meV/atom

Unit cell a=6.4775 b=6.4775 c=6.4793 alpha=119.89 beta=119.89 gamma=90.13
Last column: nearest neighbours and their distance in Å.
Fractional coordinates of all 15 atoms:
Hf  0.2446  0.2446  0.4880  4 N 2.24-2.29, 1 C 2.28
Hf  0.2447  0.7553  0.0000  3 N 2.24-2.30, 2 C 2.29
Hf  0.2460  0.2460  0.0011  2 N 2.25-2.30, 3 C 2.29
Hf  0.2516  0.7484  0.5000  3 C 2.28-2.30, 3 N 2.29-2.31
Hf  0.7484  0.2516  0.5000  3 C 2.28-2.30, 3 N 2.29-2.31
Hf  0.7540  0.7540  0.9989  2 N 2.25-2.30, 3 C 2.29
Hf  0.7553  0.2447  0.0000  3 N 2.24-2.30, 2 C 2.29
Hf  0.7554  0.7554  0.5120  4 N 2.24-2.29, 1 C 2.28
C  0.0000  0.5000  0.0000  6 Hf 2.29-2.30
C  0.5000  0.0000  0.0000  6 Hf 2.29-2.30
C  0.5000  0.5000  0.5000  6 Hf 2.28-2.29
N  0.0000  0.0000  0.0000  6 Hf 2.24-2.25
N  0.0000  0.0000  0.5000  6 Hf 2.29-2.31
N  0.0000  0.5000  0.5000  6 Hf 2.29-2.30
N  0.5000  0.0000  0.5000  6 Hf 2.29-2.30

Record 2
Below is a relaxed LiPmTmFe crystal, with properties calculated at the PBE level.

Results
DFT total energy	-76.61	eV/cell
DOS(E_F)	11.045	states/eV/cell
M_tot	0.00	μB per formula unit

Unit cell a=6.8935 b=6.8935 c=6.8935 alpha=90.00 beta=90.00 gamma=90.00
Last column: nearest neighbours and their distance in Å.
Fractional coordinates of all 16 atoms:
Li  0.0000  0.0000  0.0000  4 Pm 2.98, 4 Tm 2.98
Li  0.0000  0.5000  0.5000  4 Pm 2.98, 4 Tm 2.98
Li  0.5000  0.0000  0.5000  4 Pm 2.98, 4 Tm 2.98
Li  0.5000  0.5000  0.0000  4 Pm 2.98, 4 Tm 2.98
Pm  0.2500  0.2500  0.2500  4 Fe 2.98, 4 Li 2.98
Pm  0.2500  0.7500  0.7500  4 Fe 2.98, 4 Li 2.98
Pm  0.7500  0.2500  0.7500  4 Fe 2.98, 4 Li 2.98
Pm  0.7500  0.7500  0.2500  4 Fe 2.98, 4 Li 2.98
Tm  0.2500  0.2500  0.7500  4 Li 2.98, 4 Fe 2.98
Tm  0.2500  0.7500  0.2500  4 Li 2.98, 4 Fe 2.98
Tm  0.7500  0.2500  0.2500  4 Li 2.98, 4 Fe 2.98
Tm  0.7500  0.7500  0.7500  4 Fe 2.98, 4 Li 2.98
Fe  0.0000  0.0000  0.5000  4 Tm 2.98, 4 Pm 2.98
Fe  0.0000  0.5000  0.0000  4 Tm 2.98, 4 Pm 2.98
Fe  0.5000  0.0000  0.0000  4 Tm 2.98, 4 Pm 2.98
Fe  0.5000  0.5000  0.5000  4 Tm 2.98, 4 Pm 2.98

Record 3
Below is a relaxed TcMo crystal, with properties calculated at the PBE level.

Results
DOS(E_F)	14.794	states/eV/cell
M_tot	0.00	μB per formula unit
E above lowest polymorph	130	meV per atom

Unit cell a=4.5108 b=8.2278 c=4.9512 alpha=90.00 beta=90.00 gamma=90.00
Last column: nearest neighbours and their distance in Å.
Fractional coordinates of all 12 atoms:
Tc  0.0000  0.0000  0.0000  8 Mo 2.72-2.88, 4 Tc 2.79
Tc  0.0000  0.5000  0.5000  8 Mo 2.72-2.88, 4 Tc 2.79
Tc  0.5000  0.1714  0.1698  7 Mo 2.71-2.95, 5 Tc 2.79-2.82
Tc  0.5000  0.3286  0.6698  7 Mo 2.71-2.95, 5 Tc 2.79-2.82
Tc  0.5000  0.6714  0.6698  7 Mo 2.71-2.95, 5 Tc 2.79-2.82
Tc  0.5000  0.8286  0.1698  7 Mo 2.71-2.95, 5 Tc 2.79-2.82
Mo  0.0000  0.1636  0.4853  5 Mo 2.69-2.85, 7 Tc 2.74-2.88
Mo  0.0000  0.3364  0.9853  5 Mo 2.69-2.85, 7 Tc 2.74-2.88
Mo  0.0000  0.6636  0.9853  5 Mo 2.69-2.85, 7 Tc 2.74-2.88
Mo  0.0000  0.8364  0.4853  5 Mo 2.69-2.85, 7 Tc 2.74-2.88
Mo  0.5000  0.0000  0.6928  8 Tc 2.71-2.95, 4 Mo 2.82
Mo  0.5000  0.5000  0.1928  8 Tc 2.71-2.95, 4 Mo 2.82